DFT (GGA-PBEsol) results for a relaxed structure of TaInP2.

a = 7.9697 Å, b = 7.9697 Å, c = 7.9697 Å
α = 22.96°, β = 22.96°, γ = 22.96°
With the nearest neighbours (Å) after each atom.
Sites, in units of the cell vectors:
Ta: 0.0000 0.0000 0.0000  3 P 2.57
In: 0.2335 0.2335 0.2335  3 P 2.83, 3 Ta 2.96, 6 In 3.17
P: 0.4738 0.4738 0.4738  3 P 2.35
P: 0.7440 0.7440 0.7440  3 P 2.35, 3 Ta 2.57

N(E_F): 0.610 states/eV per atom
SG: R3m (160)
Formation enthalpy at 0 K: 0.38 eV per formula unit